Computed, not measured: a relaxed CaFe2BiO6 crystal at the PBE+U level of DFT.

```
CaFe2BiO6
1.0
-2.761 2.761 4.007
2.761 -2.761 4.007
2.761 2.761 -4.007
Ca Fe Bi O
1 2 1 6
direct
0.000 0.000 0.000
0.221 0.721 0.500
0.721 0.221 0.500
0.522 0.522 0.000
0.450 0.450 0.515
0.450 0.935 0.000
0.458 0.958 0.500
0.935 0.450 0.000
0.935 0.935 0.485
0.958 0.458 0.500
```

Results
For the magnetization, the calculation gives 8.99 μB per formula unit. Its polymorph energy (0 for the lowest one) is 0.059 eV per atom.